Computed, not measured: a geometry-optimized Rb3AsW structure at the GGA-PBEsol level of DFT.

a = 6.528 Å, b = 6.528 Å, c = 6.528 Å
α = 90.00°, β = 90.00°, γ = 90.00°
Space group Pm-3m (No. 221)
Symmetry-distinct sites (fractional):
Rb 0.000 0.000 0.500 [3 per cell]
As 0.500 0.500 0.500 [1 per cell]
W 0.000 0.000 0.000 [1 per cell]

Calculated values
Crystal system: cubic
Total magnetization: 6.0 Bohr magnetons per cell
DOS at the Fermi energy: 7.02 states/eV/f.u.
E_tot: -2.67 eV/atom

---

Computed, not measured: a geometry-optimized NiAs2P structure at the GGA-PBEsol level of DFT.

a = 5.368 Å, b = 5.368 Å, c = 10.605 Å
α = 90.00°, β = 90.00°, γ = 90.00°
Space group I-42d (No. 122)
Symmetry-distinct sites (fractional):
Ni 0.000 0.000 0.000 [4 per cell]
As 0.226 0.250 0.125 [8 per cell]
P 0.000 0.000 0.500 [4 per cell]

Calculated values
Crystal system: tetragonal
Total magnetization: 0.0 Bohr magnetons per cell
DOS at the Fermi energy: 2.16 states/eV/f.u.
E_tot: -5.53 eV/atom